Entry 1:
# Sc4BeAl3

Sc4BeAl3 after structural relaxation (PBE, Alexandria).

It has space group P4/mmm (No. 123), with a = 3.2323 Å, b = 3.2323 Å, c = 14.1458 Å, α = 90.00°, β = 90.00° and γ = 90.00°. Symmetry generates all atoms from Sc at (0.0000, 0.0000, 0.1074), Sc at (0.0000, 0.0000, 0.3684), Be at (0.5000, 0.5000, 0.0000), Al at (0.5000, 0.5000, 0.2370) and Al at (0.5000, 0.5000, 0.5000).

The density of states at the Fermi level comes out at 3.04 states/eV per cell. For the total energy, the calculation gives -5.40 eV per atom. Its formation energy from the elements is -0.363 eV/atom.

***

Entry 2:
# Sc2BeAl

Sc2BeAl after structural relaxation (PBE, Alexandria).

It has space group F-43m (No. 216), with a = 6.6061 Å, b = 6.6061 Å, c = 6.6061 Å, α = 90.00°, β = 90.00° and γ = 90.00°. Symmetry generates all atoms from Sc at (0.0000, 0.0000, 0.0000), Sc at (0.2500, 0.2500, 0.2500), Be at (0.0000, 0.0000, 0.5000) and Al at (0.2500, 0.2500, 0.7500).

The density of states at the Fermi level comes out at 24.00 states/eV per cell. Its polymorph energy (0 for the lowest one) is 0.458 eV per atom. For the total energy, the calculation gives -4.84 eV per atom. Its formation energy from the elements is 0.188 eV/atom.